# 1
DFT (meta-GGA SCAN) results for a PBEsol-optimized structure of LiReSi2.

Calculated values
polymorph energy (0 for the lowest one) = 294 meV/atom
SG = Pmmm, No. 47
ρ = 8.269 Mg/m³

Structure (POSCAR):
```
LiReSi2
1.0
-1.7721 -1.7045 -2.2143
3.1418 -1.6856 -1.2168
-0.5343 -2.9364 2.6880
Si Re Li
2 1 1
Cartesian
-1.1532 -2.3204 0.2369
0.0000 0.0000 0.0000
1.3037 -2.3110 0.7356
0.6849 -1.6951 -1.7155
```



# 2
DFT (meta-GGA SCAN) results for a PBEsol-optimized structure of TaHg2P.

Calculated values
SG = P4mm, No. 99
energy relative to the elements = -0.03 eV per formula unit
ρ = 13.767 Mg/m³

Structure (POSCAR):
```
TaHg2P
1.0
-2.4220 -1.5372 -1.5605
-0.9966 -1.2985 2.8258
-4.1419 5.4614 1.0487
Hg P Ta
2 1 1
Cartesian
-5.7738 3.9415 1.6618
-1.1093 1.4627 0.2809
-4.0128 1.6195 1.2159
-2.8774 3.7941 0.7286
```



# 3
DFT (meta-GGA SCAN) results for a PBEsol-optimized structure of TbNiSn4.

Calculated values
SG = Cmmm, No. 65
energy relative to the elements = -2.28 eV per formula unit
ρ = 8.498 Mg/m³

Structure (POSCAR):
```
TbNiSn4
1.0
-0.5176 -3.1044 -2.9940
-2.0531 -2.5284 2.9765
-12.1243 7.2153 -2.2341
Sn Tb Ni
8 2 2
Cartesian
-2.7011 1.2353 -0.8139
-1.2854 -2.8164 -0.0088
0.0000 0.0000 0.0000
-9.9408 2.8756 -4.4143
-7.0687 3.2327 -2.1299
-10.7224 3.1699 -1.4331
-3.9727 -1.5874 -0.8185
-5.5732 0.8782 -3.0983
-5.8013 0.9194 0.0496
-8.8937 0.6631 -2.3012
-11.1018 5.0771 -3.3451
-1.5401 -0.9662 -1.8831
```



# 4
DFT (meta-GGA SCAN) results for a PBEsol-optimized structure of ScNb2FeIr.

Calculated values
SG = P4/mmm, No. 123
energy relative to the elements = 8.29 eV per formula unit
ρ = 8.131 Mg/m³

Structure (POSCAR):
```
ScNb2FeIr
1.0
-4.4935 0.4844 0.3547
-0.6054 -4.1408 -2.0145
0.1087 -2.0441 4.1690
Sc Nb Fe Ir
1 2 1 1
Cartesian
0.0000 0.0000 0.0000
0.0544 -1.0221 2.0845
-0.3027 -2.0704 -1.0072
-2.4951 -2.8503 1.2546
-2.2468 0.2422 0.1773
```